Model P:
DFT (GGA-PBE) results for a relaxed SrGaP2O crystal.

The crystal system is tetragonal. The value obtained for the total magnetization is 4.981 μB/f.u.

Cell: 5.981 5.981 4.468 Å, 90.00 90.00 90.00°
Each line ends with the local moment (μB).
Positions (direct):
Sr (0.000, 0.000, 0.000)  0.09
O (0.000, 0.000, 0.500)  0.66
Ga (0.500, 0.500, 0.500)  0.05
P (0.000, 0.500, 0.000)  0.85
P (0.500, 0.000, 0.000)  0.85


Model Q:
DFT (GGA-PBE) results for a relaxed SrGaP2O crystal.

The crystal system is tetragonal. The value obtained for the total magnetization is 0.000 μB/f.u.

Cell: 5.235 5.235 3.661 Å, 90.00 90.00 90.00°
Positions (direct):
Sr (0.500, 0.500, 0.500)
O (0.000, 0.000, 0.500)
Ga (0.000, 0.000, 0.000)
P (0.000, 0.500, 0.000)
P (0.500, 0.000, 0.000)


Which structure is the most stable? The one labeled model Q.


Model P:
DFT (GGA-PBE) results for a relaxed SrGaPO2 crystal.

The crystal system is tetragonal. The value obtained for the total magnetization is 1.635 μB/f.u.

Cell: 4.165 4.165 4.659 Å, 90.00 90.00 90.00°
Each line ends with the local moment (μB).
Positions (direct):
Sr (0.500, 0.500, 0.500)  0.04
O (0.000, 0.500, 0.000)  0.31
O (0.500, 0.000, 0.000)  0.31
Ga (0.000, 0.000, 0.000)  0.00
P (0.000, 0.000, 0.500)  0.42


Model Q:
DFT (GGA-PBE) results for a relaxed SrGaPO2 crystal.

The crystal system is tetragonal. The value obtained for the total magnetization is 2.667 μB/f.u.

Cell: 4.447 4.447 6.376 Å, 90.00 90.00 90.00°
Each line ends with the local moment (μB).
Positions (direct):
Sr (0.000, 0.000, 0.000)  0.07
O (0.000, 0.500, 0.000)  0.78
O (0.500, 0.000, 0.000)  0.78
Ga (0.500, 0.500, 0.500)  -0.02
P (0.000, 0.000, 0.500)  0.33


Which structure is the most stable? The one labeled model P.